1.
AlAs2Ru: relaxed, PBEsol.

The structure in POSCAR format:
```
AlAs2Ru
1.0
-0.117 -3.946 0.440
1.607 0.356 3.616
-4.282 2.073 -0.483
As Al Ru
2 1 1
Cartesian
0.000 0.000 0.000
-1.827 -1.834 0.993
-0.965 0.317 2.580
0.745 -1.795 2.028
```

Properties
DOS(E_F) = 0.62 states/eV per atom
Total energy = -23.91 eV/cell
Formation enthalpy at 0 K = 0.141 eV/atom
M_tot = 0.00 μB/f.u.

---

2.
CaBeRe2: relaxed, PBEsol.

The structure in POSCAR format:
```
CaBeRe2
1.0
3.203 0.000 0.000
0.000 4.735 0.000
-1.602 -2.367 4.223
Ca Re Be
1 2 1
Cartesian
0.000 2.367 2.086
1.602 0.000 2.136
0.000 0.000 0.246
0.000 0.000 3.977
```

Properties
DOS(E_F) = 0.69 states/eV per atom
Total energy = -29.79 eV/cell
Formation enthalpy at 0 K = 0.751 eV/atom
M_tot = 0.00 μB/f.u.

---

3.
FeCoSn2B: relaxed, PBEsol.

The structure in POSCAR format:
```
FeCoSn2B
1.0
3.681 0.000 0.000
0.000 4.636 0.000
0.000 0.000 4.636
Fe Sn Co B
1 2 1 1
Cartesian
1.841 2.318 2.318
0.000 2.318 0.000
0.000 0.000 2.318
1.841 0.000 0.000
0.000 0.000 0.000
```

Properties
DOS(E_F) = 0.83 states/eV per atom
Total energy = -28.79 eV/cell
Formation enthalpy at 0 K = 0.688 eV/atom
M_tot = 2.69 μB/f.u.

---

4.
LiWAu2: relaxed, PBEsol.

The structure in POSCAR format:
```
LiWAu2
1.0
-2.363 -1.135 0.662
1.795 -0.297 1.999
-2.845 8.120 3.762
W Au Li
1 2 1
Cartesian
-1.000 1.328 2.278
-0.010 0.029 0.013
-2.380 5.265 4.102
-1.446 4.126 1.912
```

Properties
DOS(E_F) = 0.63 states/eV per atom
Total energy = -22.79 eV/cell
Formation enthalpy at 0 K = 0.208 eV/atom
M_tot = 0.00 μB/f.u.

---

5.
AgPW2: relaxed, PBEsol.

The structure in POSCAR format:
```
AgPW2
1.0
-0.569 -2.647 -1.108
2.362 0.209 -1.712
3.837 -2.892 4.940
W Ag P
2 1 1
Cartesian
2.709 -2.041 3.488
1.128 -0.850 1.452
0.897 -1.219 -1.410
2.815 -2.665 1.060
```

Properties
Distance to the lowest polymorph of the same formula = 0 meV per atom
DOS(E_F) = 0.69 states/eV per atom
Total energy = -35.82 eV/cell
Formation enthalpy at 0 K = 0.224 eV/atom
M_tot = 0.00 μB/f.u.

---

6.
ScBe2Rh2: relaxed, PBEsol.

The structure in POSCAR format:
```
ScBe2Rh2
1.0
-1.182 -2.559 -0.501
-0.554 -1.000 6.420
-5.913 2.748 -0.082
Sc Be Rh
2 4 4
Cartesian
0.000 0.000 0.000
-3.233 0.874 3.169
-4.140 0.814 5.615
-5.430 2.043 2.383
-1.037 -0.295 3.955
-2.327 0.934 0.723
-1.783 -1.140 1.850
-5.866 0.329 3.988
-2.998 -1.204 5.047
-4.651 0.393 0.791
```

Properties
DOS(E_F) = 0.27 states/eV per atom
Total energy = -68.80 eV/cell
Formation enthalpy at 0 K = -0.704 eV/atom
M_tot = 0.00 μB/f.u.

---

7.
TaAsOs2: relaxed, PBEsol.

The structure in POSCAR format:
```
TaAsOs2
1.0
2.893 0.000 0.000
1.446 2.505 0.000
1.446 0.835 8.413
Ta Os As
1 2 1
Cartesian
2.893 1.670 4.207
1.446 0.835 2.045
4.339 2.505 6.368
0.000 0.000 0.000
```

Properties
DOS(E_F) = 0.71 states/eV per atom
Total energy = -41.49 eV/cell
Formation enthalpy at 0 K = 0.150 eV/atom
M_tot = 0.00 μB/f.u.

---

8.
YAl3B4O12: relaxed, PBEsol.

The structure in POSCAR format:
```
YAl3B4O12
1.0
5.884 -0.011 -0.016
-1.462 5.700 -0.016
-1.462 -1.881 5.380
O Al B Y
12 3 4 1
Cartesian
0.385 1.625 3.478
1.480 4.997 0.472
4.851 1.687 1.165
-1.891 3.259 3.373
0.438 -0.575 5.216
2.521 -1.310 4.184
-1.518 1.141 4.876
-0.665 4.836 1.976
4.478 -0.427 2.674
2.574 1.053 2.674
3.625 3.524 0.132
1.480 3.033 1.871
-1.462 1.488 2.982
1.803 3.162 -0.016
2.619 -0.842 2.383
1.480 1.904 2.674
-1.778 4.436 2.674
1.480 -1.458 5.067
4.737 2.733 0.282
0.000 0.000 0.000
```

Properties
Raw formation energy = -2.8771 eV per atom
DOS(E_F) = 0.00 states/eV per atom
Total energy = -167.70 eV/cell
M_tot = 0.00 μB/f.u.

---

9.
In2CuSi: relaxed, PBEsol.

The structure in POSCAR format:
```
In2CuSi
1.0
3.986 0.000 0.000
0.000 4.683 0.000
-1.993 -2.341 4.014
Si Cu In
1 1 2
Cartesian
1.993 0.000 0.000
0.000 2.341 0.000
0.000 0.000 2.078
1.993 2.341 1.936
```

Properties
Raw formation energy = 0.3242 eV per atom
DOS(E_F) = 0.39 states/eV per atom
Total energy = -14.75 eV/cell
M_tot = 0.00 μB/f.u.

---

10.
Zr5Ge4: relaxed, PBEsol.

The structure in POSCAR format:
```
Zr5Ge4
1.0
7.191 0.000 0.000
0.000 7.191 0.000
0.000 0.000 13.074
Ge Zr
16 20
Cartesian
5.045 2.581 1.019
1.014 1.449 4.287
5.742 6.177 2.250
3.875 5.775 4.134
5.775 3.875 8.940
1.449 1.014 8.787
2.180 6.912 0.865
4.610 2.146 5.518
6.912 2.180 12.208
3.316 1.416 10.671
5.012 0.279 7.402
0.279 5.012 5.671
2.581 5.045 12.055
6.177 5.742 10.824
1.416 3.316 2.403
2.146 4.610 7.555
1.120 3.590 10.210
0.005 4.715 0.405
6.089 7.176 4.878
1.102 0.015 11.415
2.364 2.364 0.000
4.715 0.005 12.669
7.186 2.476 6.941
4.698 3.580 11.464
3.611 2.493 8.146
6.072 3.601 3.673
7.176 6.089 8.195
5.960 1.231 9.805
2.493 3.611 4.927
0.015 1.102 1.659
3.590 1.120 2.864
4.827 4.827 6.537
3.601 6.072 9.401
3.580 4.698 1.610
2.476 7.186 6.132
1.231 5.960 3.268
```

Properties
DOS(E_F) = 0.59 states/eV per atom
Total energy = -294.18 eV/cell
Formation enthalpy at 0 K = -0.927 eV/atom
M_tot = 0.00 μB/f.u.

---

11.
KLaSn2Au: relaxed, PBEsol.

The structure in POSCAR format:
```
KLaSn2Au
1.0
-2.774 1.880 4.019
-4.662 -1.180 -2.665
-0.051 -4.993 2.301
Au Sn La K
1 2 1 1
Cartesian
-1.387 0.940 2.010
-2.331 -0.590 -1.332
-0.025 -2.496 1.150
-3.743 -2.147 1.827
0.000 0.000 0.000
```

Properties
DOS(E_F) = 0.79 states/eV per atom
Total energy = -15.83 eV/cell
Formation enthalpy at 0 K = 0.618 eV/atom
M_tot = 0.00 μB/f.u.

---

12.
CuAsPt2: relaxed, PBEsol.

The structure in POSCAR format:
```
CuAsPt2
1.0
-1.096 2.764 0.397
-3.704 -1.702 1.628
3.456 -0.732 3.304
Pt As Cu
2 1 1
Cartesian
-1.213 -0.878 2.767
-0.116 -0.071 0.176
0.847 -0.285 4.326
0.195 1.364 2.377
```

Properties
DOS(E_F) = 0.38 states/eV per atom
Total energy = -23.75 eV/cell
Formation enthalpy at 0 K = -0.096 eV/atom
M_tot = 0.00 μB/f.u.

---

13.
Li4Cr3Cu3Te2O16: relaxed, PBEsol.

The structure in POSCAR format:
```
Li4Cr3Cu3Te2O16
1.0
5.782 0.000 0.000
-2.891 5.145 0.010
0.000 -0.523 9.607
O Te Cr Li Cu
16 2 3 4 3
Cartesian
0.000 3.237 1.149
0.000 -0.030 2.782
2.891 3.506 0.786
1.447 3.991 5.699
1.263 2.267 3.461
1.555 1.989 8.125
-1.263 2.267 3.461
2.891 1.268 5.892
0.000 4.653 3.414
4.227 1.989 8.125
0.000 1.393 5.792
-1.447 3.991 5.699
4.309 0.959 0.856
0.000 -0.311 7.677
2.891 -0.214 8.062
1.473 0.959 0.856
2.891 1.302 9.472
0.000 3.152 4.675
0.000 1.680 2.106
1.472 0.528 6.866
4.310 0.528 6.866
0.000 -0.442 9.504
0.000 2.983 8.771
2.891 4.860 4.613
2.891 1.355 3.941
-1.419 4.188 2.010
1.419 4.188 2.010
2.891 3.045 6.836
```

Properties
Raw formation energy = -1.4519 eV per atom
DOS(E_F) = 0.27 states/eV per atom
Total energy = -183.29 eV/cell
M_tot = 5.15 μB/f.u.

---

14.
Cs2MgI: relaxed, PBEsol.

The structure in POSCAR format:
```
Cs2MgI
1.0
-5.448 3.597 0.908
-4.927 -2.355 3.691
-1.254 2.651 5.903
Mg I Cs
1 1 2
Cartesian
0.000 0.000 0.000
-5.815 1.946 5.251
-8.722 2.920 7.876
-2.907 0.973 2.625
```

Properties
Raw formation energy = -0.4388 eV per atom
DOS(E_F) = 0.84 states/eV per atom
Total energy = -7.12 eV/cell
M_tot = 0.00 μB/f.u.

---

15.
Li3RhF: relaxed, PBEsol.

The structure in POSCAR format:
```
Li3RhF
1.0
3.863 0.000 0.000
0.000 3.863 0.000
0.000 0.000 3.863
Rh Li F
1 3 1
Cartesian
1.932 1.932 1.932
0.000 0.000 1.932
0.000 1.932 0.000
1.932 0.000 0.000
0.000 0.000 0.000
```

Properties
Raw formation energy = -0.8774 eV per atom
DOS(E_F) = 0.57 states/eV per atom
Total energy = -20.35 eV/cell
M_tot = 0.01 μB/f.u.

---

16.
AlPtRh2: relaxed, PBEsol.

The structure in POSCAR format:
```
AlPtRh2
1.0
-3.827 -0.137 -0.312
0.222 -3.671 -1.112
1.550 0.804 4.292
Pt Al Rh
1 1 2
Cartesian
-0.015 -2.386 1.234
-1.802 -1.904 -0.712
-2.040 -0.618 1.634
0.000 0.000 0.000
```

Properties
DOS(E_F) = 1.23 states/eV per atom
Total energy = -29.41 eV/cell
Formation enthalpy at 0 K = -0.519 eV/atom
M_tot = 0.00 μB/f.u.

---

17.
TaIr2W: relaxed, PBEsol.

The structure in POSCAR format:
```
TaIr2W
1.0
-2.357 0.700 1.323
1.365 -2.573 3.793
1.618 4.471 0.518
W Ir Ta
1 2 1
Cartesian
0.313 1.299 2.817
0.809 2.235 0.259
0.683 -1.286 1.897
-1.178 0.350 0.661
```

Properties
Distance to the lowest polymorph of the same formula = 4 meV per atom
DOS(E_F) = 0.69 states/eV per atom
Total energy = -47.78 eV/cell
Formation enthalpy at 0 K = -0.444 eV/atom
M_tot = 0.00 μB/f.u.

---

18.
Ba2TaOs: relaxed, PBEsol.

The structure in POSCAR format:
```
Ba2TaOs
1.0
3.675 0.000 0.000
0.000 5.680 0.000
-1.837 -2.840 5.725
Ba Os Ta
2 1 1
Cartesian
1.837 0.000 3.243
1.837 2.840 5.629
1.837 2.840 0.507
0.000 2.840 2.072
```

Properties
Distance to the lowest polymorph of the same formula = 194 meV per atom
DOS(E_F) = 1.02 states/eV per atom
Total energy = -26.66 eV/cell
Formation enthalpy at 0 K = 0.602 eV/atom
M_tot = 0.00 μB/f.u.

---

19.
La2InTe: relaxed, PBEsol.

The structure in POSCAR format:
```
La2InTe
1.0
4.345 0.000 0.000
2.173 3.763 0.000
2.173 1.254 8.108
La Te In
2 1 1
Cartesian
2.173 1.254 1.971
6.518 3.763 6.137
0.000 0.000 0.000
4.345 2.509 4.054
```

Properties
Distance to the lowest polymorph of the same formula = 5 meV per atom
Raw formation energy = -0.9537 eV per atom
DOS(E_F) = 0.65 states/eV per atom
Total energy = -21.02 eV/cell
M_tot = 0.00 μB/f.u.

---

20.
OsPdOF2: relaxed, PBEsol.

The structure in POSCAR format:
```
OsPdOF2
1.0
3.698 0.000 0.000
0.000 4.184 0.000
0.000 0.000 4.184
F O Pd Os
2 1 1 1
Cartesian
0.000 2.092 0.000
0.000 0.000 2.092
1.849 0.000 0.000
1.849 2.092 2.092
0.000 0.000 0.000
```

Properties
Raw formation energy = -0.2865 eV per atom
DOS(E_F) = 1.85 states/eV per atom
Total energy = -28.71 eV/cell
M_tot = 0.39 μB/f.u.

---

21.
MgZrFe2: relaxed, PBEsol.

The structure in POSCAR format:
```
MgZrFe2
1.0
-2.794 3.375 0.566
-2.177 1.670 -3.463
-4.353 -0.646 -0.394
Zr Fe Mg
1 2 1
Cartesian
-2.331 1.100 -0.822
0.000 0.000 0.000
-6.993 3.299 -2.467
-4.662 2.200 -1.645
```

Properties
DOS(E_F) = 1.22 states/eV per atom
Total energy = -27.58 eV/cell
Formation enthalpy at 0 K = 0.289 eV/atom
M_tot = 4.33 μB/f.u.

---

22.
BeTe3: relaxed, PBEsol.

The structure in POSCAR format:
```
BeTe3
1.0
-1.762 -3.107 -0.695
5.326 -2.532 -2.185
1.937 -2.908 8.093
Te Be
6 2
Cartesian
1.636 -1.070 0.639
2.084 -4.657 6.014
0.119 -3.054 3.829
4.262 -2.319 -0.438
3.601 -2.673 2.825
4.784 -5.940 4.907
2.351 -3.673 0.936
1.368 -2.054 5.717
```

Properties
Distance to the lowest polymorph of the same formula = 0 meV per atom
Raw formation energy = 0.1911 eV per atom
DOS(E_F) = 0.64 states/eV per atom
Total energy = -27.63 eV/cell
M_tot = 0.00 μB/f.u.

---

23.
Re3AsH: relaxed, PBEsol.

The structure in POSCAR format:
```
Re3AsH
1.0
-1.079 3.689 0.847
-2.417 0.006 -3.106
-2.913 -1.372 2.264
H Re As
1 3 1
Cartesian
0.000 0.000 0.000
-0.540 1.844 0.424
-1.208 0.003 -1.553
-1.456 -0.686 1.132
-3.204 1.161 0.002
```

Properties
DOS(E_F) = 0.92 states/eV per atom
Total energy = -44.99 eV/cell
M_tot = 0.00 μB/f.u.

---

24.
Mn2As2Pb: relaxed, PBEsol.

The structure in POSCAR format:
```
Mn2As2Pb
1.0
3.738 0.000 0.000
0.000 3.738 0.000
-1.869 -1.869 5.657
Mn Pb As
2 1 2
Cartesian
0.000 0.000 4.324
1.869 1.869 1.334
0.000 0.000 0.000
1.869 0.000 2.829
0.000 1.869 2.829
```

Properties
DOS(E_F) = 0.52 states/eV per atom
Total energy = -32.40 eV/cell
Formation enthalpy at 0 K = 0.267 eV/atom
M_tot = 0.00 μB/f.u.

---

25.
MgOsCl2: relaxed, PBEsol.

The structure in POSCAR format:
```
MgOsCl2
1.0
2.977 0.000 0.000
0.000 3.612 -0.028
-1.489 -1.737 7.420
Mg Os Cl
1 1 2
Cartesian
1.489 1.818 0.870
0.000 1.832 3.136
1.489 0.030 3.723
1.489 1.876 7.041
```

Properties
Distance to the lowest polymorph of the same formula = 0 meV per atom
Raw formation energy = 0.0208 eV per atom
DOS(E_F) = 0.34 states/eV per atom
Total energy = -17.87 eV/cell
M_tot = 0.00 μB/f.u.